1.
The following is a PBE calculation of Ta2Al after structural relaxation, from the Open Quantum Materials Database.

Computed properties:
- total DFT energy (no corrections) (eV/atom) = -9.203

POSCAR file:
```
Ta2Al
1.0
1.865 4.348 -2.478
-2.174 0.266 4.870
7.823 -1.324 3.565
Al Ta
4 8
Cartesian
2.274 1.197 0.761
2.116 3.550 1.981
5.398 -0.261 3.976
5.240 2.092 5.196
-0.155 2.307 1.196
1.638 3.597 -1.059
1.164 1.332 3.246
4.665 3.084 0.320
3.757 1.644 2.979
2.848 0.205 5.637
6.350 1.957 2.711
5.876 -0.308 7.017
```

=====

2.
The following is a PBE calculation of TaAl after structural relaxation, from the Open Quantum Materials Database.

Computed properties:
- total DFT energy (no corrections) (eV/atom) = -5.788

POSCAR file:
```
TaAl
1.0
2.795 -3.180 -0.018
0.981 -1.977 3.613
-1.308 -3.972 0.662
Al Ta
1 1
Cartesian
0.000 0.000 0.000
0.617 -2.282 1.065
```